Entry 1:
A plane-wave DFT calculation with GGA-PBE was carried out for an optimized crystal structure of CsTl2SnBi.

For the calculated volume, the calculation gives 241.6 Å³/cell. The calculation puts the formation energy at 187.4 meV per atom. The calculation puts the magnetization at 0.00 μB per formula unit. For the uncorrected energy, the calculation gives -2.5066 eV per atom. The offset from the most stable computed form comes out at 0.326 eV per atom.

It has space group P4/mmm (No. 123), with a = 6.2813 Å, b = 6.2813 Å, c = 6.1236 Å, α = 90.00°, β = 90.00° and γ = 90.00°. The inequivalent atoms are Cs at (0.0000, 0.0000, 0.0000), Tl at (0.0000, 0.5000, 0.5000), Sn at (0.5000, 0.5000, 0.0000) and Bi at (0.5000, 0.5000, 0.5000).

Entry 2:
A plane-wave DFT calculation with GGA-PBE was carried out for an optimized crystal structure of CaSc2Mn.

For the calculated volume, the calculation gives 201.9 Å³/cell. The calculation puts the formation energy at 277.4 meV per atom. The calculation puts the magnetization at 1.67 μB per formula unit. For the uncorrected energy, the calculation gives -5.6812 eV per atom. The offset from the most stable computed form comes out at 0.164 eV per atom.

It has space group Amm2 (No. 38), with a = 4.8569 Å, b = 3.3257 Å, c = 12.4986 Å, α = 90.00°, β = 90.00° and γ = 90.00°. The inequivalent atoms are Ca at (0.0000, 0.0000, 0.0000), Sc at (0.0000, 0.0000, 0.7326), Sc at (0.5000, 0.0000, 0.3242) and Mn at (0.5000, 0.0000, 0.6315).

Entry 3:
A plane-wave DFT calculation with GGA-PBE was carried out for an optimized crystal structure of CeSm4Y15.

For the calculated volume, the calculation gives 652.2 Å³/cell. The calculation puts the formation energy at 32.0 meV per atom. The calculation puts the magnetization at 0.94 μB per formula unit. For the uncorrected energy, the calculation gives -6.0566 eV per atom.

It has space group P4/mmm (No. 123), with a = 5.0793 Å, b = 5.0793 Å, c = 25.2811 Å, α = 90.00°, β = 90.00° and γ = 90.00°. The inequivalent atoms are Ce at (0.0000, 0.0000, 0.0000), Sm at (0.0000, 0.0000, 0.1984), Sm at (0.0000, 0.0000, 0.3996), Y at (0.0000, 0.5000, 0.0983), Y at (0.0000, 0.5000, 0.2991), Y at (0.0000, 0.5000, 0.5000), Y at (0.5000, 0.5000, 0.0000), Y at (0.5000, 0.5000, 0.1995) and Y at (0.5000, 0.5000, 0.3995).

Entry 4:
A plane-wave DFT calculation with GGA-PBE was carried out for an optimized crystal structure of DyThAl2Hg4.

For the calculated volume, the calculation gives 200.0 Å³/cell. The calculation puts the formation energy at -168.7 meV per atom. The calculation puts the magnetization at 0.00 μB per formula unit. For the uncorrected energy, the calculation gives -2.7580 eV per atom.

It has space group P4/mmm (No. 123), with a = 4.3850 Å, b = 4.3850 Å, c = 10.4028 Å, α = 90.00°, β = 90.00° and γ = 90.00°. The inequivalent atoms are Dy at (0.0000, 0.0000, 0.0000), Th at (0.0000, 0.0000, 0.5000), Al at (0.5000, 0.5000, 0.3799) and Hg at (0.0000, 0.5000, 0.2155).

Entry 5:
A plane-wave DFT calculation with GGA-PBE was carried out for an optimized crystal structure of Cd3GeAu4.

For the calculated volume, the calculation gives 311.9 Å³/cell. The calculation puts the formation energy at -59.2 meV per atom. The calculation puts the magnetization at 0.00 μB per formula unit. For the uncorrected energy, the calculation gives -2.6182 eV per atom.

It has space group Im-3m (No. 229), with a = 6.7815 Å, b = 6.7815 Å, c = 6.7815 Å, α = 90.00°, β = 90.00° and γ = 90.00°. The inequivalent atoms are Cd at (0.0000, 0.0000, 0.5000), Ge at (0.0000, 0.0000, 0.0000) and Au at (0.2500, 0.2500, 0.2500).

Entry 6:
A plane-wave DFT calculation with GGA-PBE was carried out for an optimized crystal structure of TlSiBI2.

For the calculated volume, the calculation gives 141.8 Å³/cell. The calculation puts the magnetization at 0.00 μB per formula unit. For the uncorrected energy, the calculation gives -3.0120 eV per atom. As for the uncorrected formation energy: 0.501 eV/atom.

It has space group P4/mmm (No. 123), with a = 6.1267 Å, b = 6.1267 Å, c = 3.7772 Å, α = 90.00°, β = 90.00° and γ = 90.00°. The inequivalent atoms are Tl at (0.0000, 0.0000, 0.0000), Si at (0.5000, 0.5000, 0.0000), B at (0.5000, 0.5000, 0.5000) and I at (0.0000, 0.5000, 0.5000).

Entry 7:
A plane-wave DFT calculation with GGA-PBE was carried out for an optimized crystal structure of Sc2TaSb.

For the calculated volume, the calculation gives 84.8 Å³/cell. The calculation puts the magnetization at 0.00 μB per formula unit. For the uncorrected energy, the calculation gives -7.4394 eV per atom. As for the uncorrected formation energy: -0.280 eV/atom.

It has space group P4/mmm (No. 123), with a = 3.6623 Å, b = 3.6623 Å, c = 6.3216 Å, α = 90.00°, β = 90.00° and γ = 90.00°. The inequivalent atoms are Sc at (0.0000, 0.0000, 0.2465), Ta at (0.5000, 0.5000, 0.0000) and Sb at (0.5000, 0.5000, 0.5000).

Entry 8:
A plane-wave DFT calculation with GGA-PBE was carried out for an optimized crystal structure of LiNi2Cl.

For the calculated volume, the calculation gives 117.4 Å³/cell. The calculation puts the magnetization at 0.00 μB per formula unit. For the uncorrected energy, the calculation gives -3.7190 eV per atom. As for the uncorrected formation energy: 0.112 eV/atom. The offset from the most stable computed form comes out at 0.317 eV per atom.

It has space group Imm2 (No. 44), with a = 3.0025 Å, b = 4.1235 Å, c = 9.4800 Å, α = 90.00°, β = 90.00° and γ = 90.00°. The inequivalent atoms are Li at (0.0000, 0.0000, 0.0000), Ni at (0.0000, 0.0000, 0.5397), Ni at (0.0000, 0.5000, 0.8508) and Cl at (0.0000, 0.5000, 0.2159).

Entry 9:
A plane-wave DFT calculation with GGA-PBE was carried out for an optimized crystal structure of RbEuSb4.

For the calculated volume, the calculation gives 784.3 Å³/cell. The calculation puts the magnetization at 6.94 μB per formula unit. For the uncorrected energy, the calculation gives -4.9049 eV per atom. As for the uncorrected formation energy: -0.283 eV/atom.

It has space group F-43m (No. 216), with a = 9.2221 Å, b = 9.2221 Å, c = 9.2221 Å, α = 90.00°, β = 90.00° and γ = 90.00°. The inequivalent atoms are Rb at (0.0000, 0.0000, 0.0000), Eu at (0.2500, 0.2500, 0.7500) and Sb at (0.1246, 0.1246, 0.3754).

Entry 10:
A plane-wave DFT calculation with GGA-PBE was carried out for an optimized crystal structure of CaBeTl2.

For the calculated volume, the calculation gives 379.6 Å³/cell. The calculation puts the formation energy at 185.9 meV per atom. The calculation puts the magnetization at 0.00 μB per formula unit. For the uncorrected energy, the calculation gives -2.4291 eV per atom. The offset from the most stable computed form comes out at 0.120 eV per atom.

It has space group Fm-3m (No. 225), with a = 7.2409 Å, b = 7.2409 Å, c = 7.2409 Å, α = 90.00°, β = 90.00° and γ = 90.00°. The inequivalent atoms are Ca at (0.0000, 0.0000, 0.0000), Be at (0.0000, 0.0000, 0.5000) and Tl at (0.2500, 0.2500, 0.2500).

Entry 11:
A plane-wave DFT calculation with GGA-PBE was carried out for an optimized crystal structure of NdTlPd2.

For the calculated volume, the calculation gives 173.2 Å³/cell. The calculation puts the formation energy at -584.0 meV per atom. The calculation puts the magnetization at 0.00 μB per formula unit. For the uncorrected energy, the calculation gives -4.9640 eV per atom.

It has space group Pmmn (No. 59, origin choice 2), with a = 4.8024 Å, b = 6.9426 Å, c = 5.1939 Å, α = 90.00°, β = 90.00° and γ = 90.00°. The inequivalent atoms are Nd at (0.2500, 0.2500, 0.2111), Tl at (0.2500, 0.7500, 0.2527) and Pd at (0.2500, 0.0228, 0.6979).